(1)
# NaHPtW2, optimized geometry, DFT PBE
# M_tot = 0.00 μB/f.u.
# Volume = 68.9 Å³/cell
# VASP energy = -0.4951 Ry/atom
data_NaHPtW2
_chemical_formula_sum 'Na1 H1 Pt1 W2'
_space_group_name_H-M_alt 'P 1'
_space_group_IT_number 1
_cell_length_a 3.8606
_cell_length_b 4.6255
_cell_length_c 3.8606
_cell_angle_alpha 90.00
_cell_angle_beta 90.00
_cell_angle_gamma 90.00
loop_
_space_group_symop_operation_xyz
'x,y,z'
loop_
_atom_site_label
_atom_site_type_symbol
_atom_site_fract_x
_atom_site_fract_y
_atom_site_fract_z
W1 W 0.0000 0.0000 0.5000
H1 H 0.0000 0.0000 0.0000
W2 W 0.5000 0.0000 0.0000
Pt1 Pt 0.0000 0.5000 0.0000
Na1 Na 0.5000 0.5000 0.5000


(2)
# Na2YHPt, optimized geometry, DFT PBE
# M_tot = 0.00 μB/f.u.
# Volume = 155.4 Å³/cell
# VASP energy = -0.2491 Ry/atom
data_Na2YHPt
_chemical_formula_sum 'Na2 Y1 H1 Pt1'
_space_group_name_H-M_alt 'P 1'
_space_group_IT_number 1
_cell_length_a 5.4228
_cell_length_b 5.2831
_cell_length_c 5.4228
_cell_angle_alpha 90.00
_cell_angle_beta 90.00
_cell_angle_gamma 90.00
loop_
_space_group_symop_operation_xyz
'x,y,z'
loop_
_atom_site_label
_atom_site_type_symbol
_atom_site_fract_x
_atom_site_fract_y
_atom_site_fract_z
Y1 Y 0.0000 0.5000 0.0000
H1 H 0.5000 0.5000 0.5000
Na1 Na 0.0000 0.0000 0.5000
Na2 Na 0.5000 0.0000 0.0000
Pt1 Pt 0.0000 0.0000 0.0000


(3)
# Na2ZnH6Pt, optimized geometry, DFT PBE
# M_tot = 0.00 μB/f.u.
# Volume = 103.3 Å³/cell
# VASP energy = -0.2367 Ry/atom
data_Na2ZnH6Pt
_chemical_formula_sum 'Na2 Zn1 H6 Pt1'
_space_group_name_H-M_alt 'P 1'
_space_group_IT_number 1
_cell_length_a 5.2808
_cell_length_b 5.2808
_cell_length_c 5.2541
_cell_angle_alpha 120.13
_cell_angle_beta 120.13
_cell_angle_gamma 89.93
loop_
_space_group_symop_operation_xyz
'x,y,z'
loop_
_atom_site_label
_atom_site_type_symbol
_atom_site_fract_x
_atom_site_fract_y
_atom_site_fract_z
H1 H 0.7680 0.7685 0.5340
H2 H 0.2284 0.2288 0.9983
H3 H 0.2317 0.2322 0.4655
Zn1 Zn 0.4999 0.5004 0.9998
Pt1 Pt 0.9999 0.0004 0.9998
Na1 Na 0.2497 0.7506 0.4999
Na2 Na 0.7501 0.2502 0.4999
H4 H 0.7698 0.2305 0.9998
H5 H 0.2299 0.7703 0.9998
H6 H 0.7714 0.7719 0.0012


(4)
# Na2ZrHPt, optimized geometry, DFT PBE
# M_tot = 0.00 μB/f.u.
# Volume = 82.8 Å³/cell
# VASP energy = -0.3110 Ry/atom
data_Na2ZrHPt
_chemical_formula_sum 'Na2 Zr1 H1 Pt1'
_space_group_name_H-M_alt 'P 1'
_space_group_IT_number 1
_cell_length_a 4.0205
_cell_length_b 5.1250
_cell_length_c 4.0205
_cell_angle_alpha 90.00
_cell_angle_beta 90.00
_cell_angle_gamma 90.00
loop_
_space_group_symop_operation_xyz
'x,y,z'
loop_
_atom_site_label
_atom_site_type_symbol
_atom_site_fract_x
_atom_site_fract_y
_atom_site_fract_z
Na1 Na 0.5000 0.0000 0.0000
Pt1 Pt 0.5000 0.5000 0.5000
H1 H 0.0000 0.0000 0.0000
Zr1 Zr 0.0000 0.5000 0.0000
Na2 Na 0.0000 0.0000 0.5000


(5)
# Na2PuH6, optimized geometry, DFT PBE
# M_tot = 4.00 μB/f.u.
# Volume = 136.6 Å³/cell
# VASP energy = -0.2776 Ry/atom
data_Na2PuH6
_chemical_formula_sum 'Na2 Pu1 H6'
_space_group_name_H-M_alt 'P 1'
_space_group_IT_number 1
_cell_length_a 5.7808
_cell_length_b 5.7808
_cell_length_c 5.7808
_cell_angle_alpha 60.00
_cell_angle_beta 60.00
_cell_angle_gamma 60.00
loop_
_space_group_symop_operation_xyz
'x,y,z'
loop_
_atom_site_label
_atom_site_type_symbol
_atom_site_fract_x
_atom_site_fract_y
_atom_site_fract_z
Na1 Na 0.2500 0.2500 0.2500
Pu1 Pu 0.0000 0.0000 0.0000
Na2 Na 0.7500 0.7500 0.7500
H1 H 0.7426 0.2574 0.7426
H2 H 0.2574 0.2574 0.7426
H3 H 0.7426 0.7426 0.2574
H4 H 0.7426 0.2574 0.2574
H5 H 0.2574 0.7426 0.7426
H6 H 0.2574 0.7426 0.2574


(6)
# Na2PuH12Rh3, optimized geometry, DFT PBE
# M_tot = 5.19 μB/f.u.
# Volume = 174.5 Å³/cell
# VASP energy = -0.3403 Ry/atom
data_Na2PuH12Rh3
_chemical_formula_sum 'Na2 Pu1 H12 Rh3'
_space_group_name_H-M_alt 'P 1'
_space_group_IT_number 1
_cell_length_a 6.1378
_cell_length_b 6.1378
_cell_length_c 6.1378
_cell_angle_alpha 63.04
_cell_angle_beta 63.04
_cell_angle_gamma 63.04
loop_
_space_group_symop_operation_xyz
'x,y,z'
loop_
_atom_site_label
_atom_site_type_symbol
_atom_site_fract_x
_atom_site_fract_y
_atom_site_fract_z
H1 H 0.2821 0.8635 0.2821
H2 H 0.8621 0.8621 0.4392
H3 H 0.1379 0.5608 0.1379
Rh1 Rh 0.5000 0.0000 0.0000
H4 H 0.2821 0.2821 0.8635
H5 H 0.4392 0.8621 0.8621
Pu1 Pu 0.0000 0.0000 0.0000
H6 H 0.1365 0.7179 0.7179
H7 H 0.8635 0.2821 0.2821
H8 H 0.7179 0.7179 0.1365
Rh2 Rh 0.0000 0.5000 0.0000
Na1 Na 0.3872 0.3872 0.3872
Rh3 Rh 0.0000 0.0000 0.5000
H9 H 0.8621 0.4392 0.8621
Na2 Na 0.6128 0.6128 0.6128
H10 H 0.5608 0.1379 0.1379
H11 H 0.1379 0.1379 0.5608
H12 H 0.7179 0.1365 0.7179


(7)
# NaPu2H12Rh3, optimized geometry, DFT PBE
# M_tot = 11.99 μB/f.u.
# Volume = 165.8 Å³/cell
# VASP energy = -0.3929 Ry/atom
data_NaPu2H12Rh3
_chemical_formula_sum 'Na1 Pu2 H12 Rh3'
_space_group_name_H-M_alt 'P 1'
_space_group_IT_number 1
_cell_length_a 6.0358
_cell_length_b 6.0358
_cell_length_c 6.0358
_cell_angle_alpha 62.98
_cell_angle_beta 62.98
_cell_angle_gamma 62.98
loop_
_space_group_symop_operation_xyz
'x,y,z'
loop_
_atom_site_label
_atom_site_type_symbol
_atom_site_fract_x
_atom_site_fract_y
_atom_site_fract_z
H1 H 0.2999 0.2999 0.8548
H2 H 0.8632 0.4292 0.8632
H3 H 0.1452 0.7001 0.7001
Rh1 Rh 0.0000 0.0000 0.5000
H4 H 0.7001 0.1452 0.7001
H5 H 0.8632 0.8632 0.4292
H6 H 0.5708 0.1368 0.1368
Pu1 Pu 0.3927 0.3927 0.3927
H7 H 0.1368 0.1368 0.5708
Pu2 Pu 0.6073 0.6073 0.6073
H8 H 0.7001 0.7001 0.1452
H9 H 0.4292 0.8632 0.8632
Rh2 Rh 0.5000 0.0000 0.0000
Na1 Na 0.0000 0.0000 0.0000
H10 H 0.8548 0.2999 0.2999
Rh3 Rh 0.0000 0.5000 0.0000
H11 H 0.2999 0.8548 0.2999
H12 H 0.1368 0.5708 0.1368


(8)
# Na2PuH8Rh, optimized geometry, DFT PBE
# M_tot = 5.00 μB/f.u.
# Volume = 121.2 Å³/cell
# VASP energy = -0.3291 Ry/atom
data_Na2PuH8Rh
_chemical_formula_sum 'Na2 Pu1 H8 Rh1'
_space_group_name_H-M_alt 'P 1'
_space_group_IT_number 1
_cell_length_a 4.7398
_cell_length_b 4.7398
_cell_length_c 6.2312
_cell_angle_alpha 90.00
_cell_angle_beta 90.00
_cell_angle_gamma 120.00
loop_
_space_group_symop_operation_xyz
'x,y,z'
loop_
_atom_site_label
_atom_site_type_symbol
_atom_site_fract_x
_atom_site_fract_y
_atom_site_fract_z
H1 H 0.1576 0.3153 0.1701
H2 H 0.6847 0.8424 0.1701
H3 H 0.6667 0.3333 0.4926
Rh1 Rh 0.0000 0.0000 0.0000
Pu1 Pu 0.0000 0.0000 0.5000
H4 H 0.3333 0.6667 0.5074
H5 H 0.3153 0.1576 0.8299
H6 H 0.1576 0.8424 0.1701
Na1 Na 0.3333 0.6667 0.8608
H7 H 0.8424 0.6847 0.8299
Na2 Na 0.6667 0.3333 0.1392
H8 H 0.8424 0.1576 0.8299


(9)
# RbNaH, optimized geometry, DFT PBE
# M_tot = 0.00 μB/f.u.
# Energy above the most stable polymorph in this dataset = 16 meV/atom
# Volume = 380.8 Å³/cell
# VASP energy = -0.1422 Ry/atom
data_RbNaH
_chemical_formula_sum 'Rb4 Na4 H4'
_space_group_name_H-M_alt 'P 1'
_space_group_IT_number 1
_cell_length_a 6.6258
_cell_length_b 4.3682
_cell_length_c 14.7068
_cell_angle_alpha 90.00
_cell_angle_beta 116.55
_cell_angle_gamma 90.00
loop_
_space_group_symop_operation_xyz
'x,y,z'
loop_
_atom_site_label
_atom_site_type_symbol
_atom_site_fract_x
_atom_site_fract_y
_atom_site_fract_z
Na1 Na 0.8837 0.0000 0.1347
Na2 Na 0.8837 0.5000 0.6347
Na3 Na 0.1163 0.0000 0.8653
H1 H 0.0000 0.0000 0.0000
H2 H 0.5000 0.0000 0.0000
H3 H 0.5000 0.5000 0.5000
Na4 Na 0.1163 0.5000 0.3653
Rb1 Rb 0.3437 0.0000 0.5947
H4 H 0.0000 0.5000 0.5000
Rb2 Rb 0.6563 0.5000 0.9053
Rb3 Rb 0.3437 0.5000 0.0947
Rb4 Rb 0.6563 0.0000 0.4053


(10)
# Rb3Na12H5, optimized geometry, DFT PBE
# M_tot = 0.00 μB/f.u.
# Volume = 2781.9 Å³/cell
# VASP energy = -0.1195 Ry/atom
data_Rb3Na12H5
_chemical_formula_sum 'Rb12 Na48 H20'
_space_group_name_H-M_alt 'P 1'
_space_group_IT_number 1
_cell_length_a 15.3458
_cell_length_b 15.3458
_cell_length_c 15.3458
_cell_angle_alpha 109.47
_cell_angle_beta 109.47
_cell_angle_gamma 109.47
loop_
_space_group_symop_operation_xyz
'x,y,z'
loop_
_atom_site_label
_atom_site_type_symbol
_atom_site_fract_x
_atom_site_fract_y
_atom_site_fract_z
H1 H 0.8750 0.6250 0.7500
Na1 Na 0.4023 0.0726 0.6102
Na2 Na 0.5977 0.6702 0.7079
Rb1 Rb 0.8750 0.1250 0.2500
Na3 Na 0.5977 0.9274 0.3898
Na4 Na 0.5376 0.7079 0.1102
Na5 Na 0.0726 0.6702 0.4624
Na6 Na 0.9274 0.3298 0.5376
Na7 Na 0.0977 0.8898 0.4274
Rb2 Rb 0.2500 0.6250 0.8750
Na8 Na 0.0376 0.6102 0.2079
Na9 Na 0.0726 0.4023 0.1102
Rb3 Rb 0.3750 0.6250 0.2500
Na10 Na 0.1702 0.4624 0.5726
Na11 Na 0.6702 0.0726 0.9624
Na12 Na 0.8298 0.2921 0.9023
H2 H 0.7500 0.1250 0.8750
Na13 Na 0.9624 0.5726 0.6702
Na14 Na 0.2921 0.4624 0.3898
Na15 Na 0.6102 0.0376 0.7079
Na16 Na 0.3898 0.4274 0.5977
H3 H 0.6250 0.7500 0.8750
H4 H 0.2500 0.3750 0.6250
H5 H 0.5000 0.0000 0.5000
H6 H 0.6250 0.8750 0.2500
Na17 Na 0.3298 0.4023 0.7921
H7 H 0.2500 0.8750 0.1250
Na18 Na 0.2079 0.1102 0.0376
H8 H 0.3750 0.2500 0.1250
H9 H 0.0000 0.5000 0.0000
Na19 Na 0.2921 0.8298 0.4023
Na20 Na 0.4624 0.2921 0.8898
Na21 Na 0.1702 0.7079 0.0977
Na22 Na 0.6102 0.5726 0.4023
Rb4 Rb 0.8750 0.7500 0.1250
H10 H 0.5000 0.0000 0.0000
Rb5 Rb 0.2500 0.1250 0.3750
Na23 Na 0.8298 0.5376 0.4274
Na24 Na 0.3298 0.9274 0.0376
Na25 Na 0.4023 0.3298 0.2921
Na26 Na 0.0376 0.4274 0.3298
Rb6 Rb 0.1250 0.2500 0.8750
Na27 Na 0.6702 0.5977 0.2079
H11 H 0.7500 0.6250 0.3750
Na28 Na 0.2079 0.0977 0.6702
Na29 Na 0.4274 0.0376 0.8298
Rb7 Rb 0.3750 0.7500 0.6250
H12 H 0.3750 0.1250 0.7500
Na30 Na 0.1102 0.9023 0.0726
H13 H 0.8750 0.2500 0.6250
H14 H 0.0000 0.0000 0.0000
Na31 Na 0.9023 0.1102 0.5726
Na32 Na 0.7921 0.8898 0.9624
Na33 Na 0.7079 0.5376 0.6102
Rb8 Rb 0.6250 0.3750 0.7500
Rb9 Rb 0.6250 0.2500 0.3750
H15 H 0.5000 0.5000 0.0000
Na34 Na 0.9624 0.3898 0.7921
Na35 Na 0.9274 0.5977 0.8898
Na36 Na 0.5726 0.9624 0.1702
Rb10 Rb 0.1250 0.8750 0.7500
Na37 Na 0.8898 0.0977 0.9274
Na38 Na 0.5376 0.8298 0.9274
Na39 Na 0.7079 0.1702 0.5977
Na40 Na 0.4274 0.3898 0.0977
Na41 Na 0.1102 0.2079 0.5376
Na42 Na 0.8898 0.7921 0.4624
H16 H 0.5000 0.5000 0.5000
Na43 Na 0.4624 0.1702 0.0726
Rb11 Rb 0.7500 0.8750 0.6250
Na44 Na 0.7921 0.9023 0.3298
Na45 Na 0.9023 0.7921 0.8298
Na46 Na 0.3898 0.9624 0.2921
H17 H 0.1250 0.3750 0.2500
H18 H 0.1250 0.7500 0.3750
H19 H 0.0000 0.5000 0.5000
Na47 Na 0.5726 0.6102 0.9023
H20 H 0.0000 0.0000 0.5000
Na48 Na 0.0977 0.2079 0.1702
Rb12 Rb 0.7500 0.3750 0.1250


(11)
# RbNaH2, optimized geometry, DFT PBE
# M_tot = 0.00 μB/f.u.
# Energy above the most stable polymorph in this dataset = 178 meV/atom
# Volume = 74.4 Å³/cell
# VASP energy = -0.1648 Ry/atom
data_RbNaH2
_chemical_formula_sum 'Rb1 Na1 H2'
_space_group_name_H-M_alt 'P 1'
_space_group_IT_number 1
_cell_length_a 3.3305
_cell_length_b 4.7267
_cell_length_c 4.7267
_cell_angle_alpha 90.00
_cell_angle_beta 90.00
_cell_angle_gamma 90.00
loop_
_space_group_symop_operation_xyz
'x,y,z'
loop_
_atom_site_label
_atom_site_type_symbol
_atom_site_fract_x
_atom_site_fract_y
_atom_site_fract_z
Na1 Na 0.5000 0.5000 0.5000
H1 H 0.0000 0.0000 0.5000
Rb1 Rb 0.5000 0.0000 0.0000
H2 H 0.0000 0.5000 0.0000


(12)
# RbNaH, optimized geometry, DFT PBE
# M_tot = 0.00 μB/f.u.
# Energy above the most stable polymorph in this dataset = 168 meV/atom
# Volume = 95.9 Å³/cell
# VASP energy = -0.1310 Ry/atom
data_RbNaH
_chemical_formula_sum 'Rb1 Na1 H1'
_space_group_name_H-M_alt 'P 1'
_space_group_IT_number 1
_cell_length_a 3.6235
_cell_length_b 3.6235
_cell_length_c 7.7420
_cell_angle_alpha 103.53
_cell_angle_beta 103.53
_cell_angle_gamma 90.00
loop_
_space_group_symop_operation_xyz
'x,y,z'
loop_
_atom_site_label
_atom_site_type_symbol
_atom_site_fract_x
_atom_site_fract_y
_atom_site_fract_z
Na1 Na 0.9629 0.9629 0.9258
H1 H 0.3137 0.3137 0.6274
Rb1 Rb 0.7234 0.7234 0.4468


Which of these has the highest VASP energy? Rb3Na12H5


Please write out number 5 again, unchanged.
# Na2PuH6, optimized geometry, DFT PBE
# M_tot = 4.00 μB/f.u.
# Volume = 136.6 Å³/cell
# VASP energy = -0.2776 Ry/atom
data_Na2PuH6
_chemical_formula_sum 'Na2 Pu1 H6'
_space_group_name_H-M_alt 'P 1'
_space_group_IT_number 1
_cell_length_a 5.7808
_cell_length_b 5.7808
_cell_length_c 5.7808
_cell_angle_alpha 60.00
_cell_angle_beta 60.00
_cell_angle_gamma 60.00
loop_
_space_group_symop_operation_xyz
'x,y,z'
loop_
_atom_site_label
_atom_site_type_symbol
_atom_site_fract_x
_atom_site_fract_y
_atom_site_fract_z
Na1 Na 0.2500 0.2500 0.2500
Pu1 Pu 0.0000 0.0000 0.0000
Na2 Na 0.7500 0.7500 0.7500
H1 H 0.7426 0.2574 0.7426
H2 H 0.2574 0.2574 0.7426
H3 H 0.7426 0.7426 0.2574
H4 H 0.7426 0.2574 0.2574
H5 H 0.2574 0.7426 0.7426
H6 H 0.2574 0.7426 0.2574


What is the VASP energy in the eleventh record? -0.1648 Ry/atom


Which of these has the lowest VASP energy? NaHPtW2